# Ce2GaN

A relaxed structure of Ce2GaN (PBE, Alexandria).

Cell: 3.5634 3.5634 7.8969 Å, 76.96 76.96 60.00°
With the nearest neighbours (Å) after each atom.
Positions (direct):
Ga  0.0000  0.0000  0.0000  6 Ce 3.16
Ce  0.2284  0.2284  0.3150  3 N 2.49
Ce  0.7716  0.7716  0.6851  3 N 2.49
N  0.5000  0.5000  0.5000  6 Ce 2.49

Computed properties:
The value obtained for the uncorrected formation energy is -0.87 eV/atom.